(1)
This record from the Alexandria database describes a relaxed structure of ZnGa2F6. The functional is PBE-GGA.

```
data_ZnGa2F6
_chemical_formula_sum 'Zn2 Ga4 F12'
_cell_length_a 6.530
_cell_length_b 6.530
_cell_length_c 6.464
_cell_angle_alpha 102.51
_cell_angle_beta 102.51
_cell_angle_gamma 98.86
_space_group_name_H-M_alt 'P 1'
_space_group_IT_number 1
_space_group_name_Hall 'P 1'
loop_
_atom_site_label
_atom_site_fract_x
_atom_site_fract_y
_atom_site_fract_z
Zn1 0.062 0.938 0.750
Zn2 0.938 0.062 0.250
Ga1 0.245 0.461 0.730
Ga2 0.461 0.245 0.230
Ga3 0.539 0.755 0.770
Ga4 0.755 0.539 0.270
F1 0.013 0.619 0.724
F2 0.026 0.195 0.613
F3 0.195 0.026 0.113
F4 0.274 0.378 0.997
F5 0.378 0.274 0.497
F6 0.381 0.987 0.776
F7 0.619 0.013 0.224
F8 0.622 0.726 0.503
F9 0.726 0.622 0.003
F10 0.805 0.974 0.887
F11 0.974 0.805 0.387
F12 0.987 0.381 0.276
```

Values from the calculation:
Formation energy (no corrections) ... -2238.1 meV/atom
SG ... No. 15
ρ ... 4.1 g cm⁻³
Volume ... 14.265 Å³ per atom
Electronic total energy ... -4.2999 eV/atom



(2)
This record from the Alexandria database describes a relaxed structure of Zr2GaF. The functional is PBE-GGA.

```
data_Zr2GaF
_chemical_formula_sum 'Zr2 Ga1 F1'
_cell_length_a 4.633
_cell_length_b 4.633
_cell_length_c 4.633
_cell_angle_alpha 60.00
_cell_angle_beta 60.00
_cell_angle_gamma 60.00
_space_group_name_H-M_alt 'P 1'
_space_group_IT_number 1
_space_group_name_Hall 'P 1'
loop_
_atom_site_label
_atom_site_fract_x
_atom_site_fract_y
_atom_site_fract_z
Zr1 0.250 0.250 0.250
Zr2 0.750 0.750 0.750
Ga1 0.000 0.000 0.000
F1 0.500 0.500 0.500
```

Values from the calculation:
E above lowest polymorph ... 0 meV/atom
Formation energy (no corrections) ... -803.6 meV/atom
SG ... No. 225
ρ ... 6.4 g cm⁻³
Volume ... 17.581 Å³ per atom
Electronic total energy ... -6.3022 eV/atom



(3)
This record from the Alexandria database describes a relaxed structure of ZrGaF3. The functional is PBE-GGA.

```
data_ZrGaF3
_chemical_formula_sum 'Zr1 Ga1 F3'
_cell_length_a 4.311
_cell_length_b 4.311
_cell_length_c 4.311
_cell_angle_alpha 90.00
_cell_angle_beta 90.00
_cell_angle_gamma 90.00
_space_group_name_H-M_alt 'P 1'
_space_group_IT_number 1
_space_group_name_Hall 'P 1'
loop_
_atom_site_label
_atom_site_fract_x
_atom_site_fract_y
_atom_site_fract_z
Zr1 0.000 0.000 0.000
Ga1 0.500 0.500 0.500
F1 0.000 0.500 0.500
F2 0.500 0.000 0.500
F3 0.500 0.500 0.000
```

Values from the calculation:
E above lowest polymorph ... 890 meV/atom
Formation energy (no corrections) ... -1292.4 meV/atom
SG ... No. 221
ρ ... 4.5 g cm⁻³
Volume ... 16.025 Å³ per atom
Electronic total energy ... -4.7302 eV/atom



(4)
This record from the Alexandria database describes a relaxed structure of Zr2Ga2F. The functional is PBE-GGA.

```
data_Zr2Ga2F
_chemical_formula_sum 'Zr4 Ga4 F2'
_cell_length_a 6.273
_cell_length_b 6.273
_cell_length_c 4.602
_cell_angle_alpha 90.00
_cell_angle_beta 90.00
_cell_angle_gamma 90.00
_space_group_name_H-M_alt 'P 1'
_space_group_IT_number 1
_space_group_name_Hall 'P 1'
loop_
_atom_site_label
_atom_site_fract_x
_atom_site_fract_y
_atom_site_fract_z
Zr1 0.166 0.334 0.000
Zr2 0.334 0.834 0.000
Zr3 0.666 0.166 0.000
Zr4 0.834 0.666 0.000
Ga1 0.149 0.649 0.500
Ga2 0.351 0.149 0.500
Ga3 0.649 0.851 0.500
Ga4 0.851 0.351 0.500
F1 0.000 0.000 0.000
F2 0.500 0.500 0.000
```

Values from the calculation:
Formation energy (no corrections) ... -1007.4 meV/atom
SG ... No. 127
ρ ... 6.3 g cm⁻³
Volume ... 18.110 Å³ per atom
Electronic total energy ... -6.0116 eV/atom



(5)
This record from the Alexandria database describes a relaxed structure of Zr2GaF. The functional is PBE-GGA.

```
data_Zr2GaF
_chemical_formula_sum 'Zr4 Ga2 F2'
_cell_length_a 7.468
_cell_length_b 7.468
_cell_length_c 7.468
_cell_angle_alpha 140.09
_cell_angle_beta 140.09
_cell_angle_gamma 57.71
_space_group_name_H-M_alt 'P 1'
_space_group_IT_number 1
_space_group_name_Hall 'P 1'
loop_
_atom_site_label
_atom_site_fract_x
_atom_site_fract_y
_atom_site_fract_z
Zr1 0.046 0.625 0.921
Zr2 0.375 0.296 0.421
Zr3 0.704 0.125 0.079
Zr4 0.875 0.954 0.579
Ga1 0.250 0.750 0.500
Ga2 0.500 0.500 0.000
F1 0.000 0.000 0.000
F2 0.750 0.250 0.500
```

Values from the calculation:
E above lowest polymorph ... 258 meV/atom
Formation energy (no corrections) ... -545.5 meV/atom
SG ... No. 122
ρ ... 5.3 g cm⁻³
Volume ... 21.238 Å³ per atom
Electronic total energy ... -6.0441 eV/atom



(6)
This record from the Alexandria database describes a relaxed structure of ZrGaF3. The functional is PBE-GGA.

```
data_ZrGaF3
_chemical_formula_sum 'Zr1 Ga1 F3'
_cell_length_a 4.386
_cell_length_b 4.386
_cell_length_c 4.386
_cell_angle_alpha 90.00
_cell_angle_beta 90.00
_cell_angle_gamma 90.00
_space_group_name_H-M_alt 'P 1'
_space_group_IT_number 1
_space_group_name_Hall 'P 1'
loop_
_atom_site_label
_atom_site_fract_x
_atom_site_fract_y
_atom_site_fract_z
Zr1 0.000 0.000 0.000
Ga1 0.500 0.500 0.500
F1 0.000 0.000 0.500
F2 0.000 0.500 0.000
F3 0.500 0.000 0.000
```

Values from the calculation:
E above lowest polymorph ... 0 meV/atom
Formation energy (no corrections) ... -2182.4 meV/atom
SG ... No. 221
ρ ... 4.3 g cm⁻³
Volume ... 16.876 Å³ per atom
Electronic total energy ... -5.6202 eV/atom